Computed, not measured: a relaxed FeOsO crystal at the PBE+U level of DFT.

Output
Space group: Pmmn
Magnetization, μB per cell: 7.1
Final energy, eV per cell: -45.55

Cell: 2.836 4.114 6.380 Å, 90.00 90.00 90.00°
Atoms (fractional coordinates):
1 Fe 0.250 0.250 0.147
2 Fe 0.750 0.750 0.853
3 Os 0.250 0.750 0.436
4 Os 0.750 0.250 0.564
5 O 0.250 0.750 0.109
6 O 0.750 0.250 0.891